This record from the Alexandria database describes TaAl2As after structural relaxation. The functional is PBE.

Computed properties:
Size of the total moment in μB per cell: 0.0
Calculated density in g/cm3: 6.75
Formation energy from the elements in eV per atom: 0.02

Lattice parameters (Å, degrees): 10.374 10.374 10.374 16.25 16.25 16.25
Fractional positions:
Ta (0.000, 0.000, 0.000)
Al (0.485, 0.485, 0.485)
Al (0.742, 0.742, 0.742)
As (0.262, 0.262, 0.262)